A plane-wave DFT calculation with PBE was carried out for ReAg2As after structural relaxation.

It has space group Pm (No. 6), with a = 2.726 Å, b = 4.488 Å, c = 5.774 Å, α = 90.00°, β = 103.52° and γ = 90.00°. The distinct sites, in fractional coordinates, are Re at (0.000, 0.000, 0.000), Ag at (0.260, 0.000, 0.513), Ag at (0.636, 0.500, 0.272) and As at (0.880, 0.500, 0.805).

The value obtained for the magnetization is 0.0 μB per cell. The calculated density comes out at 11530 kg/m3. The value obtained for the formation energy is 0.474 eV/atom. The calculation puts the total energy at -5.23 eV/atom.